! PBE Tb2CeSm3Ho6, relaxed; values from VASP
! ΔE_f = 0.033 eV/atom
! Size of the total moment = 1.1 μB/cell
! Energy = -4.70 eV per atom
&SYSTEM
  ibrav = 0, nat = 12, ntyp = 4
/
ATOMIC_SPECIES
Ho 164.93 Ho.upf
Sm 150.36 Sm.upf
Tb 158.93 Tb.upf
Ce 140.12 Ce.upf
ATOMIC_POSITIONS angstrom
Ho -0.029 -0.051 8.699
Ho -1.028 1.758 2.877
Ho 3.055 1.753 8.718
Ho 2.036 -0.012 2.877
Ho -0.008 3.522 8.718
Ho 2.057 3.562 2.895
Sm 1.014 1.755 5.797
Sm -2.063 3.532 5.797
Sm 4.091 -0.022 5.797
Tb 0.001 3.563 0.017
Tb 3.085 1.782 0.017
Ce 0.000 0.000 0.000
CELL_PARAMETERS angstrom
6.170 0.000 0.017
-3.083 5.344 0.017
-1.059 -1.834 11.561

***

! PBE LiHfSe2Br, relaxed; values from VASP
! E above lowest polymorph = 0 meV/atom
! Raw formation energy = -944 meV/atom
! Size of the total moment = 0.0 μB/cell
! Energy = -5.05 eV per atom
&SYSTEM
  ibrav = 0, nat = 5, ntyp = 4
/
ATOMIC_SPECIES
Se 78.96 Se.upf
Br 79.90 Br.upf
Hf 178.49 Hf.upf
Li 6.94 Li.upf
ATOMIC_POSITIONS angstrom
Se -0.005 -1.648 2.005
Se 2.312 0.907 0.752
Br -1.216 1.845 1.514
Hf 0.000 0.000 0.000
Li 1.091 1.104 4.270
CELL_PARAMETERS angstrom
-0.010 -3.297 4.009
4.625 1.815 1.504
-2.432 3.689 3.027

***

! PBE Mo5Ru, relaxed; values from VASP
! E above lowest polymorph = 148 meV/atom
! ΔE_f = 0.226 eV/atom
! Size of the total moment = 0.0 μB/cell
! Energy = -10.35 eV per atom
&SYSTEM
  ibrav = 0, nat = 6, ntyp = 2
/
ATOMIC_SPECIES
Mo 95.94 Mo.upf
Ru 101.07 Ru.upf
ATOMIC_POSITIONS angstrom
Mo 1.349 1.349 8.812
Mo 0.000 0.000 1.944
Mo 0.000 0.000 11.085
Mo 0.000 0.000 6.515
Mo 1.349 1.349 4.217
Ru 1.349 1.349 0.000
CELL_PARAMETERS angstrom
2.698 0.000 0.000
0.000 2.698 0.000
0.000 0.000 13.029

***

! PBE Tb2NdSi2, relaxed; values from VASP
! E above lowest polymorph = 48 meV/atom
! Raw formation energy = -585 meV/atom
! Size of the total moment = 0.0 μB/cell
! Energy = -5.56 eV per atom
&SYSTEM
  ibrav = 0, nat = 5, ntyp = 3
/
ATOMIC_SPECIES
Si 28.09 Si.upf
Tb 158.93 Tb.upf
Nd 144.24 Nd.upf
ATOMIC_POSITIONS angstrom
Si 3.429 -5.004 -1.721
Si 3.414 -5.251 0.726
Tb 4.701 -7.610 -0.741
Tb 2.143 -2.645 -0.254
Nd 0.000 0.000 0.000
CELL_PARAMETERS angstrom
-0.819 -4.331 -0.443
3.850 -2.638 -3.480
3.812 -3.286 2.927